No. 1
Ac2Sn6Au: relaxed, PBE.

The space group is Amm2 (No. 38) and the conventional cell measures 4.6578, 4.6494 and 24.8650 Å, with angles of 90.00, 90.00 and 90.00 degrees. Symmetry generates all atoms from Ac at (0.0000, 0.0000, 0.0000), Ac at (0.0000, 0.0000, 0.3351), Sn at (0.0000, 0.0000, 0.6162), Sn at (0.0000, 0.0000, 0.7325), Sn at (0.5000, 0.0000, 0.1161), Sn at (0.5000, 0.0000, 0.2326), Sn at (0.5000, 0.0000, 0.4443), Sn at (0.5000, 0.0000, 0.8726) and Au at (0.5000, 0.0000, 0.5523).

As for the volume: 538.48 Å³ per cell. The value obtained for the total energy is -4.424 eV per atom. The formation energy from the elements is -0.48 eV/atom.

No. 2
Sm4Se3S: relaxed, PBE.

The space group is Cmmm (No. 65) and the conventional cell measures 8.3410, 11.7148 and 4.0989 Å, with angles of 90.00, 90.00 and 90.00 degrees. Symmetry generates all atoms from Sm at (0.0000, 0.2389, 0.0000), Sm at (0.2308, 0.0000, 0.5000), Se at (0.0000, 0.5000, 0.0000), Se at (0.2500, 0.2500, 0.5000) and S at (0.0000, 0.0000, 0.0000).

The calculation puts the energy above the most stable polymorph in this dataset at 0 meV per atom. As for the volume: 400.51 Å³ per cell. The value obtained for the total energy is -6.054 eV per atom. The calculation puts the raw formation energy at -1.87 eV per atom.

No. 3
NaMg6C: relaxed, PBE.

The space group is Amm2 (No. 38) and the conventional cell measures 3.2594, 5.8580 and 20.7062 Å, with angles of 90.00, 90.00 and 90.00 degrees. Symmetry generates all atoms from Na at (0.0000, 0.0000, 0.0000), Mg at (0.0000, 0.2433, 0.2488), Mg at (0.5000, 0.0000, 0.1389), Mg at (0.5000, 0.0000, 0.6327), Mg at (0.5000, 0.2377, 0.3699) and C at (0.0000, 0.0000, 0.3364).

The calculation puts the energy above the most stable polymorph in this dataset at 35 meV per atom. As for the volume: 395.36 Å³ per cell. The value obtained for the total energy is -2.182 eV per atom. The formation energy from the elements is 0.33 eV/atom.

No. 4
FeTe2AuS: relaxed, PBE.

The space group is P4/mmm (No. 123) and the conventional cell measures 5.5192, 5.5192 and 4.6617 Å, with angles of 90.00, 90.00 and 90.00 degrees. Symmetry generates all atoms from Fe at (0.0000, 0.0000, 0.0000), Te at (0.0000, 0.5000, 0.5000), Au at (0.5000, 0.5000, 0.5000) and S at (0.5000, 0.5000, 0.0000).

As for the volume: 142.01 Å³ per cell. The value obtained for the total energy is -3.448 eV per atom. The calculation puts the raw formation energy at 0.98 eV per atom.

No. 5
Pm2NdHfP4: relaxed, PBE.

The space group is P2/m (No. 10) and the conventional cell measures 6.9642, 4.0151 and 6.9702 Å, with angles of 90.00, 109.18 and 90.00 degrees. Symmetry generates all atoms from Pm at (0.0000, 0.0000, 0.0000), Pm at (0.0000, 0.5000, 0.5000), Nd at (0.5000, 0.0000, 0.5000), Hf at (0.5000, 0.5000, 0.0000), P at (0.2597, 0.5000, 0.2374) and P at (0.2691, 0.0000, 0.7705).

As for the volume: 184.08 Å³ per cell. The value obtained for the total energy is -7.193 eV per atom. The formation energy from the elements is -1.46 eV/atom.

No. 6
CaTaH: relaxed, PBE.

The space group is P6_3/mmc (No. 194) and the conventional cell measures 3.1780, 3.1780 and 13.2161 Å, with angles of 90.00, 90.00 and 120.00 degrees. Symmetry generates all atoms from Ca at (0.0000, 0.0000, 0.2500), Ta at (0.0000, 0.0000, 0.0000) and H at (0.3333, 0.6667, 0.2500).

The calculation puts the energy above the most stable polymorph in this dataset at 1000 meV per atom. As for the volume: 115.60 Å³ per cell. The value obtained for the total energy is -4.819 eV per atom.

No. 7
TaZnRh: relaxed, PBE.

The space group is I4mm (No. 107) and the conventional cell measures 3.2234, 3.2234 and 8.8904 Å, with angles of 90.00, 90.00 and 90.00 degrees. Symmetry generates all atoms from Ta at (0.0000, 0.0000, 0.0000), Zn at (0.0000, 0.0000, 0.6754) and Rh at (0.0000, 0.0000, 0.3369).

As for the volume: 92.37 Å³ per cell. The value obtained for the total energy is -7.118 eV per atom. The formation energy from the elements is -0.29 eV/atom.

No. 8
SrBeRu2: relaxed, PBE.

The space group is Imm2 (No. 44) and the conventional cell measures 2.9537, 4.9617 and 9.5449 Å, with angles of 90.00, 90.00 and 90.00 degrees. Symmetry generates all atoms from Sr at (0.0000, 0.0000, 0.0000), Be at (0.0000, 0.5000, 0.7923), Ru at (0.0000, 0.0000, 0.4865) and Ru at (0.0000, 0.5000, 0.2115).

As for the volume: 139.89 Å³ per cell. The value obtained for the total energy is -5.303 eV per atom. The formation energy from the elements is 0.69 eV/atom.

No. 9
LiTa2W: relaxed, PBE.

The space group is C2/m (No. 12) and the conventional cell measures 5.7572, 9.0771 and 2.6978 Å, with angles of 90.00, 107.62 and 90.00 degrees. Symmetry generates all atoms from Li at (0.0000, 0.0000, 0.0000), Ta at (0.2500, 0.2500, 0.5000) and W at (0.0000, 0.5000, 0.0000).

The calculation puts the energy above the most stable polymorph in this dataset at 120 meV per atom. As for the volume: 134.37 Å³ per cell. The value obtained for the total energy is -9.331 eV per atom. The formation energy from the elements is 0.31 eV/atom.

No. 10
Ba3UPa2N6: relaxed, PBE.

The space group is C2/m (No. 12) and the conventional cell measures 6.2841, 10.8808 and 6.7611 Å, with angles of 90.00, 108.04 and 90.00 degrees. Symmetry generates all atoms from Ba at (0.0000, 0.0000, 0.0000), Ba at (0.0000, 0.3328, 0.0000), U at (0.0000, 0.5000, 0.5000), Pa at (0.0000, 0.1666, 0.5000), N at (0.2174, 0.3367, 0.6622) and N at (0.2273, 0.0000, 0.6629).

As for the volume: 439.56 Å³ per cell. The value obtained for the total energy is -8.392 eV per atom. The calculation puts the raw formation energy at -1.23 eV per atom.

No. 11
TbCdHg: relaxed, PBE.

The space group is P-6m2 (No. 187) and the conventional cell measures 4.9666, 4.9666 and 3.4409 Å, with angles of 90.00, 90.00 and 120.00 degrees. Symmetry generates all atoms from Tb at (0.0000, 0.0000, 0.0000), Cd at (0.3333, 0.6667, 0.5000) and Hg at (0.6667, 0.3333, 0.5000).

As for the volume: 73.51 Å³ per cell. The value obtained for the total energy is -2.321 eV per atom. The formation energy from the elements is -0.37 eV/atom.

No. 12
ZnBr: relaxed, PBE.

The space group is Cmcm (No. 63) and the conventional cell measures 3.9623, 14.5607 and 3.9736 Å, with angles of 90.00, 90.00 and 90.00 degrees. Symmetry generates all atoms from Zn at (0.0000, 0.1448, 0.2500) and Br at (0.0000, 0.3626, 0.2500).

As for the volume: 229.26 Å³ per cell. The value obtained for the total energy is -1.621 eV per atom. The calculation puts the raw formation energy at -0.15 eV per atom.

no.,D(E_F) (states/eV/atom),spin magnetization (μB per formula unit),ρ (g/cm³)
1,0.30,0.0,8.408
2,0.44,0.0,7.217
3,0.33,0.0,1.519
4,1.64,4.1,6.315
5,0.18,0.0,6.645
6,0.84,0.0,6.379
7,0.69,0.0,12.557
8,1.18,0.0,7.093
9,0.92,0.0,13.660
10,0.56,0.9,9.037
11,0.85,0.0,10.661
12,0.12,0.0,4.210